No. 1
This record from Alexandria describes a geometry-optimized KZr2Te structure. The functional is PBE-GGA.

abc: 6.5594 6.5594 5.6697
angles: 70.97 70.97 30.52
Last column: nearest neighbours and their distance in Å.
Atoms (fractional coordinates):
Zr (0.5455, 0.5455, 0.4244)  2 Te 2.99, 2 Zr 3.12
Zr (0.9545, 0.9545, 0.0756)  2 Te 2.99, 2 Zr 3.12
Te (0.2500, 0.2500, 0.2500)  4 Zr 2.99, 4 K 3.32
K (0.7500, 0.7500, 0.7500)  4 Te 3.32, 2 K 3.45, 2 Zr 3.65

- Space-group type: C2/m (12)
- E_form (uncorrected): 11.4 kJ/mol of atoms
- Total DFT energy (no corrections): -5.216 eV per atom



No. 2
This record from Alexandria describes a geometry-optimized RbBAs3 structure. The functional is PBE-GGA.

abc: 4.7389 4.7389 4.7389
angles: 90.00 90.00 90.00
Last column: nearest neighbours and their distance in Å.
Atoms (fractional coordinates):
B (0.0000, 0.0000, 0.0000)  6 As 2.37
As (0.0000, 0.5000, 0.0000)  2 B 2.37
As (0.0000, 0.0000, 0.5000)  2 B 2.37
As (0.5000, 0.0000, 0.0000)  2 B 2.37
Rb (0.5000, 0.5000, 0.5000)  12 As 3.35

- Space-group type: Pm-3m (221)
- Total DFT energy (no corrections): -3.658 eV per atom
- ΔH_f (0 K): 0.661 eV per atom



No. 3
This record from Alexandria describes a geometry-optimized BaNaMgTl2 structure. The functional is PBE-GGA.

abc: 4.9715 4.9715 7.5998
angles: 109.09 109.09 90.00
Last column: nearest neighbours and their distance in Å.
Atoms (fractional coordinates):
Na (0.7500, 0.2500, 0.5000)  4 Tl 3.09
Ba (0.0000, 0.0000, 0.0000)  8 Tl 3.83, 4 Mg 4.19, 4 Na 4.19
Tl (0.3865, 0.3865, 0.7729)  1 Tl 3.06, 2 Mg 3.09, 2 Na 3.09
Tl (0.6135, 0.6135, 0.2271)  1 Tl 3.06, 2 Na 3.09, 2 Mg 3.09
Mg (0.2500, 0.7500, 0.5000)  4 Tl 3.09

- Space-group type: I-4m2 (119)
- Total DFT energy (no corrections): -2.103 eV per atom
- ΔH_f (0 K): -0.189 eV per atom



No. 4
This record from Alexandria describes a geometry-optimized Ti6Re2W structure. The functional is PBE-GGA.

abc: 3.1363 5.2900 9.5792
angles: 73.96 80.58 72.76
Last column: nearest neighbours and their distance in Å.
Atoms (fractional coordinates):
Ti (0.3188, 0.7861, 0.5764)  2 Re 2.68, 8 Ti 2.78-2.97
Ti (0.0137, 0.3084, 0.6643)  2 Re 2.65, 7 Ti 2.83-2.95
Ti (0.3289, 0.4591, 0.8830)  2 Re 2.67, 2 W 2.80, 5 Ti 2.82-2.97
Ti (0.6711, 0.5409, 0.1170)  2 Re 2.67, 2 W 2.80, 5 Ti 2.82-2.97
Ti (0.9863, 0.6916, 0.3357)  2 Re 2.65, 7 Ti 2.83-2.95
Ti (0.6812, 0.2139, 0.4236)  2 Re 2.68, 8 Ti 2.78-2.97
Re (0.3393, 0.1079, 0.2135)  6 Ti 2.65-2.68, 2 W 2.71
Re (0.6607, 0.8921, 0.7865)  6 Ti 2.65-2.68, 2 W 2.71
W (0.0000, 0.0000, 0.0000)  4 Re 2.71, 4 Ti 2.80

- Space-group type: C2/m (12)
- Total DFT energy (no corrections): -9.669 eV per atom
- ΔH_f (0 K): -0.200 eV per atom



No. 5
This record from Alexandria describes a geometry-optimized BSeSBr2 structure. The functional is PBE-GGA.

abc: 4.3359 4.3359 5.4279
angles: 90.00 90.00 90.00
Last column: nearest neighbours and their distance in Å.
Atoms (fractional coordinates):
S (0.5000, 0.5000, 0.5000)  4 Se 3.07
Br (0.0000, 0.5000, 0.0000)  2 B 2.17
Br (0.5000, 0.0000, 0.0000)  2 B 2.17
B (0.0000, 0.0000, 0.0000)  4 Br 2.17
Se (0.0000, 0.0000, 0.5000)  2 B 2.71

- Space-group type: P4/mmm (123)
- E_form (uncorrected): 91.7 kJ/mol of atoms
- Total DFT energy (no corrections): -2.577 eV per atom



No. 6
This record from Alexandria describes a geometry-optimized ZrMoW4 structure. The functional is PBE-GGA.

abc: 5.3281 5.3281 5.3281
angles: 60.00 60.00 60.00
Last column: nearest neighbours and their distance in Å.
Atoms (fractional coordinates):
W (0.8756, 0.3748, 0.3748)  6 W 2.66-2.67
W (0.3748, 0.3748, 0.3748)  6 W 2.66-2.67
W (0.3748, 0.3748, 0.8756)  6 W 2.66-2.67
W (0.3748, 0.8756, 0.3748)  6 W 2.66-2.67
Mo (0.0000, 0.0000, 0.0000)  12 W 3.12, 4 Zr 3.26
Zr (0.7500, 0.7500, 0.7500)  12 W 3.12, 4 Mo 3.26

- Space-group type: F-43m (216)
- Total DFT energy (no corrections): -11.713 eV per atom
- ΔH_f (0 K): 0.152 eV per atom



No. 7
This record from Alexandria describes a geometry-optimized HoZnBr structure. The functional is PBE-GGA.

abc: 3.8951 3.8952 13.1080
angles: 90.21 81.46 60.00
Last column: nearest neighbours and their distance in Å.
Atoms (fractional coordinates):
Ho (0.8024, 0.0964, 0.2988)  3 Br 2.92, 4 Zn 2.98-3.25
Ho (0.1976, 0.9036, 0.7012)  3 Br 2.92, 4 Zn 2.98-3.25
Zn (0.6327, 0.1842, 0.5503)  3 Zn 2.60
Zn (0.3673, 0.8158, 0.4497)  3 Zn 2.60
Br (0.2329, 0.3795, 0.1548)  3 Ho 2.92
Br (0.7671, 0.6205, 0.8452)  3 Ho 2.92

- Space-group type: C2/m (12)
- E_form (uncorrected): -82.8 kJ/mol of atoms
- Total DFT energy (no corrections): -3.366 eV per atom



No. 8
This record from Alexandria describes a geometry-optimized Co2CuGe structure. The functional is PBE-GGA.

abc: 9.7719 5.4715 5.4715
angles: 28.14 26.75 26.75
Last column: nearest neighbours and their distance in Å.
Atoms (fractional coordinates):
Co (0.2558, 0.0000, 0.0000)  1 Ge 2.39, 6 Co 2.47-2.66, 1 Cu 2.50
Co (0.7442, 0.0000, 0.0000)  1 Ge 2.39, 6 Co 2.47-2.66, 1 Cu 2.50
Ge (0.5000, 0.0000, 0.0000)  2 Co 2.39, 4 Cu 2.46, 2 Ge 2.66
Cu (0.0000, 0.0000, 0.0000)  4 Ge 2.46, 2 Co 2.50, 2 Cu 2.66

- Space-group type: Immm (71)
- Total DFT energy (no corrections): -5.292 eV per atom
- ΔH_f (0 K): 0.439 eV per atom



Repeat the second record exactly.
This record from Alexandria describes a geometry-optimized RbBAs3 structure. The functional is PBE-GGA.

abc: 4.7389 4.7389 4.7389
angles: 90.00 90.00 90.00
Last column: nearest neighbours and their distance in Å.
Atoms (fractional coordinates):
B (0.0000, 0.0000, 0.0000)  6 As 2.37
As (0.0000, 0.5000, 0.0000)  2 B 2.37
As (0.0000, 0.0000, 0.5000)  2 B 2.37
As (0.5000, 0.0000, 0.0000)  2 B 2.37
Rb (0.5000, 0.5000, 0.5000)  12 As 3.35

- Space-group type: Pm-3m (221)
- Total DFT energy (no corrections): -3.658 eV per atom
- ΔH_f (0 K): 0.661 eV per atom